## w
Entry from Alexandria: an optimized crystal structure of AgPOsS2 (PBE).

POSCAR file:
```
AgPOsS2
1.0
4.791 0.000 0.000
0.000 4.791 0.000
0.000 0.000 4.472
Os P S Ag
1 1 2 1
Cartesian
0.000 0.000 0.000 Os
0.000 0.000 2.236 P
0.000 2.395 0.000 S
2.395 0.000 0.000 S
2.395 2.395 2.236 Ag
```

Computed properties:
Calculated volume (Å³ per cell): 103
Magnetization (μB/atom): 0.11
SG: P4/mmm, No. 123



## x
Entry from Alexandria: an optimized crystal structure of AgPOsS2 (PBE).

POSCAR file:
```
AgPOsS2
1.0
4.653 0.000 0.000
0.000 4.653 0.000
0.000 0.000 4.635
Os S Ag P
1 2 1 1
Cartesian
2.327 2.327 2.318 Os
2.327 0.000 0.000 S
0.000 2.327 0.000 S
0.000 0.000 0.000 Ag
0.000 0.000 2.318 P
```

Computed properties:
Calculated volume (Å³ per cell): 100
Magnetization (μB/atom): 0.00
SG: P4/mmm, No. 123



Which one sits at the top of the stability order? w does.



## w
Entry from Alexandria: an optimized crystal structure of Ag2OsPb2 (PBE).

POSCAR file:
```
Ag2OsPb2
1.0
7.365 0.000 0.000
0.000 7.365 0.000
0.000 0.000 4.103
Ag Pb Os
4 4 2
Cartesian
2.669 1.014 2.051 Ag
6.352 2.669 2.051 Ag
1.014 4.697 2.051 Ag
4.697 6.352 2.051 Ag
2.463 6.146 0.000 Pb
1.220 2.463 0.000 Pb
4.902 1.220 0.000 Pb
6.146 4.902 0.000 Pb
3.683 3.683 0.000 Os
0.000 0.000 0.000 Os
```

Computed properties:
Calculated volume (Å³ per cell): 223
Magnetization (μB/atom): 0.00
SG: P4/mbm, No. 127



## x
Entry from Alexandria: an optimized crystal structure of Ag2OsPb2 (PBE).

POSCAR file:
```
Ag2OsPb2
1.0
3.632 0.000 0.000
0.000 3.632 0.000
1.816 1.816 8.654
Os Ag Pb
1 2 2
Cartesian
0.000 0.000 0.000 Os
3.632 1.816 4.327 Ag
1.816 3.632 4.327 Ag
3.632 3.632 7.049 Pb
1.816 1.816 1.605 Pb
```

Computed properties:
Calculated volume (Å³ per cell): 114
Magnetization (μB/atom): 0.00
SG: I4/mmm, No. 139



Which one sits at the top of the stability order? x does.



## w
Entry from Alexandria: an optimized crystal structure of Pm2AgOs (PBE).

POSCAR file:
```
Pm2AgOs
1.0
3.486 0.000 0.000
0.000 3.486 0.000
0.000 0.000 7.827
Pm Os Ag
2 1 1
Cartesian
0.000 0.000 1.733 Pm
0.000 0.000 6.094 Pm
1.743 1.743 0.000 Os
1.743 1.743 3.913 Ag
```

Computed properties:
Calculated volume (Å³ per cell): 95
Magnetization (μB/atom): 0.00
SG: P4/mmm, No. 123



## x
Entry from Alexandria: an optimized crystal structure of Pm2AgOs (PBE).

POSCAR file:
```
Pm2AgOs
1.0
-4.735 -0.653 1.704
-1.978 -4.665 0.270
-0.794 -2.161 4.522
Pm Os Ag
2 1 1
Cartesian
-5.631 -5.610 4.873 Pm
-1.877 -1.870 1.624 Pm
0.000 0.000 0.000 Os
-3.754 -3.740 3.248 Ag
```

Computed properties:
Calculated volume (Å³ per cell): 92
Magnetization (μB/atom): 0.00
SG: Fm-3m, No. 225



Which one sits at the top of the stability order? w does.



## w
Entry from Alexandria: an optimized crystal structure of Pm4Ag2Os (PBE).

POSCAR file:
```
Pm4Ag2Os
1.0
4.916 0.000 1.536
2.218 4.387 1.536
-0.077 -0.048 8.882
Pm Ag Os
4 2 1
Cartesian
4.484 2.758 2.915 Pm
0.795 0.489 6.090 Pm
2.572 1.581 9.038 Pm
6.261 3.850 5.864 Pm
1.732 1.065 3.090 Ag
5.324 3.274 8.864 Ag
0.000 0.000 0.000 Os
```

Computed properties:
Calculated volume (Å³ per cell): 192
Magnetization (μB/atom): 0.00
SG: R-3m, No. 166



## x
Entry from Alexandria: an optimized crystal structure of Pm4Ag2Os (PBE).

POSCAR file:
```
Pm4Ag2Os
1.0
5.498 0.000 0.000
0.000 5.498 0.000
-2.749 -2.749 7.409
Os Pm Ag
1 4 2
Cartesian
0.000 0.000 0.000 Os
2.749 0.000 0.000 Pm
0.000 2.749 0.000 Pm
0.000 0.000 2.753 Pm
2.749 2.749 4.655 Pm
2.749 2.749 1.641 Ag
0.000 0.000 5.767 Ag
```

Computed properties:
Calculated volume (Å³ per cell): 224
Magnetization (μB/atom): 0.00
SG: I4/mmm, No. 139



Which one sits at the top of the stability order? w does.



## w
Entry from Alexandria: an optimized crystal structure of AgOsPt (PBE).

POSCAR file:
```
AgOsPt
1.0
4.991 0.031 -0.008
2.631 4.241 0.008
-3.383 -2.899 2.249
Ag Pt Os
1 1 1
Cartesian
7.617 4.268 0.000 Ag
5.167 2.896 0.000 Pt
2.461 1.379 0.000 Os
```

Computed properties:
Calculated volume (Å³ per cell): 47
Magnetization (μB/atom): 0.00
SG: Imm2, No. 44



## x
Entry from Alexandria: an optimized crystal structure of AgOsPt (PBE).

POSCAR file:
```
AgOsPt
1.0
-0.199 -3.811 2.534
1.369 -4.289 -0.847
7.096 -3.168 3.740
Os Pt Ag
2 2 2
Cartesian
1.179 -5.786 1.364 Os
1.884 -1.289 1.056 Os
6.781 -3.403 3.627 Pt
3.377 -6.841 2.533 Pt
4.257 -4.087 2.552 Ag
5.901 -6.156 3.607 Ag
```

Computed properties:
Calculated volume (Å³ per cell): 112
Magnetization (μB/atom): 0.00
SG: C2/m, No. 12



## y
Entry from Alexandria: an optimized crystal structure of AgOsPt (PBE).

POSCAR file:
```
AgOsPt
1.0
-5.777 -2.504 -1.801
-5.315 -3.260 2.002
4.675 4.573 0.341
Os Pt Ag
1 1 1
Cartesian
-3.594 -1.868 0.065 Os
-7.513 -3.905 0.136 Pt
-11.075 -5.756 0.201 Ag
```

Computed properties:
Calculated volume (Å³ per cell): 48
Magnetization (μB/atom): 0.00
SG: I4mm, No. 107



## z
Entry from Alexandria: an optimized crystal structure of AgOsPt (PBE).

POSCAR file:
```
AgOsPt
1.0
4.292 0.000 0.000
2.146 3.717 0.000
2.146 1.239 3.505
Os Pt Ag
1 1 1
Cartesian
4.292 2.478 1.752 Os
6.439 3.717 2.629 Pt
0.000 0.000 0.000 Ag
```

Computed properties:
Calculated volume (Å³ per cell): 56
Magnetization (μB/atom): 0.40
SG: F-43m, No. 216



Which one sits at the top of the stability order? y does.



## w
Entry from Alexandria: an optimized crystal structure of AgOsPt (PBE).

POSCAR file:
```
AgOsPt
1.0
7.749 0.018 -0.011
7.024 2.652 -0.009
0.725 -1.197 2.346
Os Ag Pt
1 1 1
Cartesian
5.364 0.080 1.565 Os
14.771 2.670 -0.020 Ag
10.136 1.394 0.761 Pt
```

Computed properties:
Calculated volume (Å³ per cell): 48
Magnetization (μB/atom): 0.00
SG: Fmm2, No. 42



## x
Entry from Alexandria: an optimized crystal structure of AgOsPt (PBE).

POSCAR file:
```
AgOsPt
1.0
2.782 0.000 0.000
-1.391 2.410 0.000
0.000 0.000 7.025
Pt Os Ag
1 1 1
Cartesian
0.000 1.606 4.591 Pt
1.391 0.803 2.424 Os
0.000 0.000 0.011 Ag
```

Computed properties:
Calculated volume (Å³ per cell): 47
Magnetization (μB/atom): 0.00
SG: P3m1, No. 156



Which one sits at the top of the stability order? x does.